! PBE Pm3DyPd, optimized geometry; values from VASP
&SYSTEM
  ibrav = 0, nat = 10, ntyp = 3
/
ATOMIC_SPECIES
Pm 145.00 Pm.upf
Dy 162.50 Dy.upf
Pd 106.42 Pd.upf
ATOMIC_POSITIONS crystal
Pm 0.000 0.000 0.000
Pm 0.027 0.027 0.370
Pm 0.327 0.327 0.767
Pm 0.357 0.357 0.131
Pm 0.681 0.681 0.237
Pm 0.795 0.795 0.533
Dy 0.561 0.561 0.609
Dy 0.676 0.676 0.894
Pd 0.022 0.022 0.747
Pd 0.344 0.344 0.394
CELL_PARAMETERS angstrom
6.221 -1.894 0.000
6.221 1.894 0.000
-6.018 0.000 12.665
! - Space group: No. 8
! - Calculated formation energy: -0.33 eV per atom



! PBE Sc4AlFe, optimized geometry; values from VASP
&SYSTEM
  ibrav = 0, nat = 12, ntyp = 3
/
ATOMIC_SPECIES
Sc 44.96 Sc.upf
Al 26.98 Al.upf
Fe 55.84 Fe.upf
ATOMIC_POSITIONS crystal
Sc 0.058 0.726 0.951
Sc 0.205 0.361 0.617
Sc 0.274 0.942 0.549
Sc 0.361 0.205 0.117
Sc 0.639 0.795 0.883
Sc 0.726 0.058 0.451
Sc 0.795 0.639 0.383
Sc 0.942 0.274 0.049
Al 0.373 0.627 0.250
Al 0.627 0.373 0.750
Fe 0.002 0.998 0.750
Fe 0.998 0.002 0.250
CELL_PARAMETERS angstrom
4.011 -5.939 0.000
4.011 5.939 0.000
-1.659 0.000 5.283
! - Offset from the most stable computed form: 0.000 eV per atom
! - Space group: No. 15
! - Calculated formation energy: -0.20 eV per atom



! PBE Ac2Sb3Rh5, optimized geometry; values from VASP
&SYSTEM
  ibrav = 0, nat = 20, ntyp = 3
/
ATOMIC_SPECIES
Ac 227.00 Ac.upf
Sb 121.76 Sb.upf
Rh 102.91 Rh.upf
ATOMIC_POSITIONS crystal
Ac 0.143 0.240 0.383
Ac 0.357 0.740 0.097
Ac 0.643 0.260 0.903
Ac 0.857 0.760 0.617
Sb 0.108 0.644 0.752
Sb 0.250 0.250 0.000
Sb 0.392 0.144 0.536
Sb 0.608 0.856 0.464
Sb 0.750 0.750 0.000
Sb 0.892 0.356 0.248
Rh 0.030 0.750 0.280
Rh 0.132 0.894 0.026
Rh 0.250 0.750 0.500
Rh 0.368 0.394 0.762
Rh 0.470 0.750 0.720
Rh 0.530 0.250 0.280
Rh 0.632 0.606 0.238
Rh 0.750 0.250 0.500
Rh 0.868 0.106 0.974
Rh 0.970 0.250 0.720
CELL_PARAMETERS angstrom
-5.130 6.811 3.160
5.130 -6.811 3.160
5.130 6.811 -3.160
! - Offset from the most stable computed form: 0.000 eV per atom
! - Space group: No. 72
! - Uncorrected formation energy: -0.69 eV/atom



! PBE Rb2CuPtBr6, optimized geometry; values from VASP
&SYSTEM
  ibrav = 0, nat = 10, ntyp = 4
/
ATOMIC_SPECIES
Rb 85.47 Rb.upf
Cu 63.55 Cu.upf
Pt 195.08 Pt.upf
Br 79.90 Br.upf
ATOMIC_POSITIONS crystal
Rb 0.250 0.750 0.500
Rb 0.750 0.250 0.500
Cu 0.000 0.000 0.000
Pt 0.500 0.500 0.000
Br 0.252 0.252 0.504
Br 0.252 0.748 0.000
Br 0.253 0.253 0.000
Br 0.747 0.747 0.000
Br 0.748 0.252 0.000
Br 0.748 0.748 0.496
CELL_PARAMETERS angstrom
-3.713 3.713 5.267
3.713 -3.713 5.267
3.713 3.713 -5.267
! - Offset from the most stable computed form: 0.000 eV per atom
! - Space group: No. 139
! - Uncorrected formation energy: -0.84 eV/atom